1.
PBE BaCaPt2, relaxed; calculated volume = 100.7 Å³/f.u.; ΔE_f = -0.729 eV/atom; energy above the most stable polymorph in this dataset = 0.0198 eV/atom; SG = P4/mmm (123); raw total energy = -18.923 eV/cell; density = 9.4 g/cm³
1.0
3.7271 0.0000 0.0000
0.0000 3.7271 0.0000
0.0000 0.0000 7.2476
Ba Ca Pt
1 1 2
Cartesian
0.0000 0.0000 0.0000 Ba
0.0000 0.0000 3.6238 Ca
1.8636 1.8636 2.1382 Pt
1.8636 1.8636 5.1094 Pt

=====

2.
PBE ZrTl2Pb, relaxed; calculated volume = 104.3 Å³/f.u.; ΔE_f = 0.052 eV/atom; energy above the most stable polymorph in this dataset = 0.0240 eV/atom; SG = Cm (8); raw total energy = -16.783 eV/cell; density = 11.3 g/cm³
1.0
5.9526 -1.7071 0.0000
5.9526 1.7071 0.0000
-2.5372 0.0000 5.1296
Zr Tl Pb
1 2 1
Cartesian
0.0000 0.0000 0.0000 Zr
4.5405 0.0000 2.7028 Tl
7.7037 0.0000 2.1145 Tl
0.7403 0.0000 4.8116 Pb

=====

3.
PBE MnMo2Cl, relaxed; formation energy from raw total energies = 0.685 eV/f.u.; calculated volume = 70.6 Å³/f.u.; energy above the most stable polymorph in this dataset = 0.0000 eV/atom; SG = Pmm2 (25); raw total energy = -31.993 eV/cell; density = 6.6 g/cm³
1.0
3.0873 0.0000 0.0000
0.0000 3.1808 0.0000
0.0000 0.0000 7.1873
Mn Mo Cl
1 2 1
Cartesian
0.0000 0.0000 0.0000 Mn
0.0000 0.0000 4.1976 Mo
1.5437 1.5904 5.5998 Mo
1.5437 0.0000 2.0741 Cl

=====

4.
PBE Nb2BS, relaxed; formation energy from raw total energies = -0.665 eV/f.u.; calculated volume = 54.2 Å³/f.u.; energy above the most stable polymorph in this dataset = 0.0000 eV/atom; SG = Fm-3m (225); raw total energy = -31.609 eV/cell; density = 7.0 g/cm³
1.0
0.0000 3.0031 3.0031
3.0031 0.0000 3.0031
3.0031 3.0031 0.0000
Nb B S
2 1 1
Cartesian
1.5016 1.5016 1.5016 Nb
4.5047 4.5047 4.5047 Nb
0.0000 0.0000 0.0000 B
3.0031 3.0031 3.0031 S

=====

5.
PBE RbTa2VCo, relaxed; calculated volume = 97.8 Å³/f.u.; ΔE_f = 3.066 eV/atom; SG = P4/mmm (123); raw total energy = -25.568 eV/cell; density = 9.5 g/cm³
1.0
4.8233 0.0000 0.0000
0.0000 4.8233 0.0000
0.0000 0.0000 4.2057
Rb Ta V Co
1 2 1 1
Cartesian
0.0000 0.0000 0.0000 Rb
0.0000 2.4116 0.0000 Ta
2.4116 0.0000 0.0000 Ta
2.4116 2.4116 2.1028 V
0.0000 0.0000 2.1028 Co

=====

6.
PBE CeSmLu, relaxed; calculated volume = 92.1 Å³/f.u.; ΔE_f = 0.071 eV/atom; energy above the most stable polymorph in this dataset = 0.0000 eV/atom; SG = P3m1 (156); raw total energy = -14.961 eV/cell; density = 8.4 g/cm³
1.0
3.5103 0.0000 0.0000
-1.7551 3.0400 0.0000
0.0000 0.0000 8.6299
Ce Sm Lu
1 1 1
Cartesian
0.0000 0.0000 0.0000 Ce
0.0000 2.0267 5.7345 Sm
1.7552 1.0133 2.8058 Lu

=====

7.
PBE Rb4AgPb3Br12, relaxed; formation energy from raw total energies = -22.421 eV/f.u.; calculated volume = 791.9 Å³/f.u.; SG = Im-3m (229); raw total energy = -60.342 eV/cell; density = 4.3 g/cm³
1.0
-5.8283 5.8283 5.8283
5.8283 -5.8283 5.8283
5.8283 5.8283 -5.8283
Rb Ag Pb Br
4 1 3 12
Cartesian
2.9142 2.9142 -2.9142 Rb
2.9142 -2.9142 2.9142 Rb
-2.9142 2.9142 2.9142 Rb
2.9142 2.9142 2.9142 Rb
0.0000 0.0000 0.0000 Ag
5.8283 0.0000 0.0000 Pb
0.0000 5.8283 0.0000 Pb
0.0000 0.0000 5.8283 Pb
2.8423 0.0000 0.0000 Br
8.8144 0.0000 0.0000 Br
0.0000 2.8423 0.0000 Br
0.0000 0.0000 2.8423 Br
5.8283 2.9142 0.0000 Br
5.8283 0.0000 2.9142 Br
2.9142 5.8283 0.0000 Br
2.9142 0.0000 5.8283 Br
0.0000 5.8283 2.9142 Br
0.0000 2.9142 5.8283 Br
0.0000 8.8144 0.0000 Br
0.0000 0.0000 8.8144 Br

=====

8.
PBE HfTlAgS2, relaxed; formation energy from raw total energies = -2.266 eV/f.u.; calculated volume = 135.6 Å³/f.u.; SG = P4/mmm (123); raw total energy = -25.692 eV/cell; density = 6.8 g/cm³
1.0
4.9251 0.0000 0.0000
0.0000 4.9251 0.0000
0.0000 0.0000 5.5904
Hf Tl Ag S
1 1 1 2
Cartesian
0.0000 0.0000 0.0000 Hf
2.4625 2.4625 2.7952 Tl
0.0000 0.0000 2.7952 Ag
0.0000 2.4625 0.0000 S
2.4625 0.0000 0.0000 S

=====

9.
PBE CaMg2Hg, relaxed; calculated volume = 101.5 Å³/f.u.; ΔE_f = -0.213 eV/atom; SG = Pmmm (47); raw total energy = -6.345 eV/cell; density = 4.7 g/cm³
1.0
4.5047 0.0000 0.0000
0.0000 4.5684 0.0000
0.0000 0.0000 4.9345
Ca Mg Hg
1 2 1
Cartesian
0.0000 0.0000 0.0000 Ca
0.0000 2.2842 2.4673 Mg
2.2523 0.0000 2.4673 Mg
2.2523 2.2842 0.0000 Hg